Record 1
Here is a relaxed CaInW crystal from Alexandria. Energies are from PBEsol.

The space group is Fmm2 (No. 42) and the conventional cell measures 4.1119, 4.1207 and 14.5033 Å, with angles of 90.00, 90.00 and 90.00 degrees. The distinct sites, in fractional coordinates, are Ca at (0.0000, 0.0000, 0.0000), In at (0.0000, 0.0000, 0.6806) and W at (0.0000, 0.0000, 0.3300).

The value obtained for the density of states at the Fermi level is 1.63 states/eV/f.u. As for the total energy: -5.85 eV/atom. The formation energy from the elements comes out at 0.456 eV per atom.

---

Record 2
Here is a relaxed Ca3InW crystal from Alexandria. Energies are from PBEsol.

The space group is Pm-3m (No. 221) and the conventional cell measures 5.7648, 5.7648 and 5.7648 Å, with angles of 90.00, 90.00 and 90.00 degrees. The distinct sites, in fractional coordinates, are Ca at (0.0000, 0.0000, 0.5000), In at (0.0000, 0.0000, 0.0000) and W at (0.5000, 0.5000, 0.5000).

The value obtained for the density of states at the Fermi level is 2.81 states/eV/f.u. As for the total energy: -3.36 eV/atom. The formation energy from the elements comes out at 1.280 eV per atom.

---

Number 1: E above lowest polymorph 0 meV per atom, spin magnetization 0.00 μB/f.u.. Number 2: E above lowest polymorph 335 meV per atom, spin magnetization 4.91 μB/f.u..